The following is a DFT calculation (PBE) of a geometry-optimized Hf2GeTe structure.

Computed properties:
- D(E_F) (states/eV per atom) = 0.0926
- total magnetic moment (μB/cell) = 0.00
- E (eV per atom) = -7.57
- uncorrected formation energy (eV per atom) = -0.65
- relative energy among the computed polymorphs (kcal/mol of atoms) = 0.00
- symmetry = R3m (160)

Structure (POSCAR):
```
Hf2GeTe
1.0
1.935 1.117 6.831
-1.935 1.117 6.831
0.000 -2.235 6.831
Hf Ge Te
2 1 1
Direct
0.000 0.000 0.000 Hf
0.193 0.193 0.193 Hf
0.595 0.595 0.595 Ge
0.763 0.763 0.763 Te
```

---

The following is a DFT calculation (PBE) of a geometry-optimized HfGe2Te4 structure.

Computed properties:
- D(E_F) (states/eV per atom) = 0.6344
- total magnetic moment (μB/cell) = 0.68
- E (eV per atom) = -4.51
- uncorrected formation energy (eV per atom) = 0.03
- symmetry = I4/m (87)

Structure (POSCAR):
```
HfGe2Te4
1.0
-3.992 3.992 3.706
3.992 -3.992 3.706
3.992 3.992 -3.706
Hf Ge Te
1 2 4
Direct
0.000 0.000 0.000 Hf
0.250 0.750 0.500 Ge
0.750 0.250 0.500 Ge
0.190 0.696 0.886 Te
0.304 0.190 0.493 Te
0.696 0.810 0.507 Te
0.810 0.304 0.114 Te
```

---

The following is a DFT calculation (PBE) of a geometry-optimized HfGeTe4 structure.

Computed properties:
- D(E_F) (states/eV per atom) = 0.2914
- total magnetic moment (μB/cell) = 0.00
- E (eV per atom) = -4.72
- uncorrected formation energy (eV per atom) = -0.20
- symmetry = P-42c (112)

Structure (POSCAR):
```
HfGeTe4
1.0
6.437 0.000 0.000
0.000 6.437 0.000
0.000 0.000 11.086
Hf Ge Te
2 2 8
Direct
0.000 0.000 0.000 Hf
0.000 0.000 0.500 Hf
0.000 0.500 0.250 Ge
0.500 0.000 0.750 Ge
0.259 0.275 0.382 Te
0.259 0.725 0.118 Te
0.275 0.259 0.882 Te
0.275 0.741 0.618 Te
0.725 0.259 0.618 Te
0.725 0.741 0.882 Te
0.741 0.275 0.118 Te
0.741 0.725 0.382 Te
```

---

The following is a DFT calculation (PBE) of a geometry-optimized Hf2GeTe structure.

Computed properties:
- D(E_F) (states/eV per atom) = 1.6965
- total magnetic moment (μB/cell) = 0.00
- E (eV per atom) = -7.23
- uncorrected formation energy (eV per atom) = -0.32
- relative energy among the computed polymorphs (kcal/mol of atoms) = 7.70
- symmetry = Fm-3m (225)

Structure (POSCAR):
```
Hf2GeTe
1.0
0.000 3.454 3.454
3.454 0.000 3.454
3.454 3.454 0.000
Hf Ge Te
2 1 1
Direct
0.250 0.250 0.250 Hf
0.750 0.750 0.750 Hf
0.000 0.000 0.000 Ge
0.500 0.500 0.500 Te
```

---

The following is a DFT calculation (PBE) of a geometry-optimized HfGe3Te structure.

Computed properties:
- D(E_F) (states/eV per atom) = 0.7837
- total magnetic moment (μB/cell) = 0.00
- E (eV per atom) = -4.87
- uncorrected formation energy (eV per atom) = 0.52
- relative energy among the computed polymorphs (kcal/mol of atoms) = 0.00
- symmetry = Pm-3m (221)

Structure (POSCAR):
```
HfGe3Te
1.0
5.228 0.000 0.000
0.000 5.228 0.000
0.000 0.000 5.228
Hf Ge Te
1 3 1
Direct
0.000 0.000 0.000 Hf
0.000 0.000 0.500 Ge
0.000 0.500 0.000 Ge
0.500 0.000 0.000 Ge
0.500 0.500 0.500 Te
```

---

The following is a DFT calculation (PBE) of a geometry-optimized Hf3GeTe3 structure.

Computed properties:
- D(E_F) (states/eV per atom) = 0.3895
- total magnetic moment (μB/cell) = 0.00
- E (eV per atom) = -7.02
- uncorrected formation energy (eV per atom) = -0.75
- symmetry = I4_132 (214)

Structure (POSCAR):
```
Hf3GeTe3
1.0
-5.625 5.625 5.625
5.625 -5.625 5.625
5.625 5.625 -5.625
Hf Ge Te
12 4 12
Direct
0.013 0.025 0.263 Hf
0.013 0.487 0.750 Hf
0.025 0.263 0.013 Hf
0.237 0.263 0.750 Hf
0.237 0.475 0.487 Hf
0.263 0.013 0.025 Hf
0.263 0.750 0.237 Hf
0.475 0.487 0.237 Hf
0.487 0.237 0.475 Hf
0.487 0.750 0.013 Hf
0.750 0.013 0.487 Hf
0.750 0.237 0.263 Hf
0.000 0.250 0.500 Ge
0.250 0.250 0.250 Ge
0.250 0.500 0.000 Ge
0.500 0.000 0.250 Ge
0.250 0.757 0.743 Te
0.250 0.993 0.507 Te
0.507 0.250 0.993 Te
0.507 0.757 0.515 Te
0.515 0.507 0.757 Te
0.743 0.250 0.757 Te
0.743 0.993 0.985 Te
0.757 0.515 0.507 Te
0.757 0.743 0.250 Te
0.985 0.743 0.993 Te
0.993 0.507 0.250 Te
0.993 0.985 0.743 Te
```

---

The following is a DFT calculation (PBE) of a geometry-optimized HfTh2Ge2 structure.

Computed properties:
- D(E_F) (states/eV per atom) = 1.0955
- total magnetic moment (μB/cell) = 0.00
- E (eV per atom) = -7.45
- ΔH_f (0 K) (meV/atom) = -640
- symmetry = P4/mbm (127)

Structure (POSCAR):
```
HfTh2Ge2
1.0
7.451 0.000 0.000
0.000 7.451 0.000
0.000 0.000 4.392
Hf Th Ge
2 4 4
Direct
0.000 0.000 0.000 Hf
0.500 0.500 0.000 Hf
0.178 0.322 0.500 Th
0.322 0.822 0.500 Th
0.678 0.178 0.500 Th
0.822 0.678 0.500 Th
0.128 0.628 0.000 Ge
0.372 0.128 0.000 Ge
0.628 0.872 0.000 Ge
0.872 0.372 0.000 Ge
```

---

The following is a DFT calculation (PBE) of a geometry-optimized HfThGe2 structure.

Computed properties:
- D(E_F) (states/eV per atom) = 0.3917
- total magnetic moment (μB/cell) = 0.00
- E (eV per atom) = -7.31
- ΔH_f (0 K) (meV/atom) = -662
- symmetry = R-3m (166)

Structure (POSCAR):
```
HfThGe2
1.0
2.050 1.183 6.566
-2.050 1.183 6.566
0.000 -2.367 6.566
Hf Th Ge
1 1 2
Direct
0.000 0.000 0.000 Hf
0.500 0.500 0.500 Th
0.260 0.260 0.260 Ge
0.740 0.740 0.740 Ge
```

---

The following is a DFT calculation (PBE) of a geometry-optimized HfTh2Ge structure.

Computed properties:
- D(E_F) (states/eV per atom) = 1.1933
- total magnetic moment (μB/cell) = 0.00
- E (eV per atom) = -7.10
- ΔH_f (0 K) (meV/atom) = 250
- symmetry = R-3m (166)

Structure (POSCAR):
```
HfTh2Ge
1.0
1.650 0.952 11.343
-1.650 0.952 11.343
0.000 -1.905 11.343
Hf Th Ge
1 2 1
Direct
0.000 0.000 0.000 Hf
0.092 0.092 0.092 Th
0.908 0.908 0.908 Th
0.500 0.500 0.500 Ge
```

---

The following is a DFT calculation (PBE) of a geometry-optimized HfTh3Ge5 structure.

Computed properties:
- D(E_F) (states/eV per atom) = 0.6301
- total magnetic moment (μB/cell) = 0.00
- E (eV per atom) = -6.86
- ΔH_f (0 K) (meV/atom) = -720
- symmetry = P6_3/mcm (193)

Structure (POSCAR):
```
HfTh3Ge5
1.0
8.916 0.000 0.000
-4.458 7.722 0.000
0.000 0.000 6.046
Hf Th Ge
2 6 10
Direct
0.000 0.000 0.000 Hf
0.000 0.000 0.500 Hf
0.000 0.383 0.250 Th
0.000 0.617 0.750 Th
0.383 0.000 0.250 Th
0.383 0.383 0.750 Th
0.617 0.000 0.750 Th
0.617 0.617 0.250 Th
0.000 0.263 0.750 Ge
0.000 0.737 0.250 Ge
0.263 0.000 0.750 Ge
0.263 0.263 0.250 Ge
0.333 0.667 0.000 Ge
0.333 0.667 0.500 Ge
0.667 0.333 0.000 Ge
0.667 0.333 0.500 Ge
0.737 0.000 0.250 Ge
0.737 0.737 0.750 Ge
```

---

The following is a DFT calculation (PBE) of a geometry-optimized Hf2Ti4Ge structure.

Computed properties:
- D(E_F) (states/eV per atom) = 1.1977
- total magnetic moment (μB/cell) = 2.45
- E (eV per atom) = -7.37
- ΔH_f (0 K) (meV/atom) = 646
- symmetry = I4/mmm (139)

Structure (POSCAR):
```
Hf2Ti4Ge
1.0
-2.344 2.344 7.087
2.344 -2.344 7.087
2.344 2.344 -7.087
Hf Ti Ge
2 4 1
Direct
0.117 0.117 0.000 Hf
0.883 0.883 0.000 Hf
0.000 0.500 0.500 Ti
0.324 0.324 0.000 Ti
0.500 0.000 0.500 Ti
0.676 0.676 0.000 Ti
0.500 0.500 0.000 Ge
```

---

The following is a DFT calculation (PBE) of a geometry-optimized Hf5Ti2Ge5 structure.

Computed properties:
- D(E_F) (states/eV per atom) = 0.6538
- total magnetic moment (μB/cell) = 0.00
- E (eV per atom) = -7.81
- ΔH_f (0 K) (meV/atom) = -421
- symmetry = C2/m (12)

Structure (POSCAR):
```
Hf5Ti2Ge5
1.0
6.280 -1.914 0.000
6.280 1.914 0.000
-4.165 0.000 9.939
Hf Ti Ge
5 2 5
Direct
0.000 0.000 0.000 Hf
0.161 0.161 0.529 Hf
0.219 0.219 0.842 Hf
0.781 0.781 0.158 Hf
0.839 0.839 0.471 Hf
0.441 0.441 0.706 Ti
0.559 0.559 0.294 Ti
0.192 0.192 0.279 Ge
0.388 0.388 0.078 Ge
0.500 0.500 0.500 Ge
0.612 0.612 0.922 Ge
0.808 0.808 0.721 Ge
```